# 1
Density functional theory data (PBE) for an optimized crystal structure of TaRhCS2.

Results
calculated total energy: -5.708 eV per atom
energy relative to the elements, uncorrected: 8.14 eV per formula unit

Cell lengths 4.6828, 4.6828, 4.9651 Å; angles 90.00, 90.00, 90.00 degrees
Closest atoms and distances in Å follow each position.
Space group P4/mmm (No. 123)
Symmetry-distinct sites (fractional):
Ta (0.0000, 0.0000, 0.0000)  4 S 2.34, 2 Rh 2.48
Rh (0.0000, 0.0000, 0.5000)  2 Ta 2.48
C (0.5000, 0.5000, 0.5000)  4 Rh 3.31, 8 S 3.41
S (0.0000, 0.5000, 0.0000)  2 Ta 2.34

=====

# 2
Density functional theory data (PBE) for an optimized crystal structure of Th6RhC3S2.

Results
calculated total energy: -8.270 eV per atom
energy relative to the elements, uncorrected: -11.44 eV per formula unit

Cell lengths 17.3679, 3.8360, 8.0896 Å; angles 90.00, 105.97, 90.00 degrees
Closest atoms and distances in Å follow each position.
Space group C2/m (No. 12)
Symmetry-distinct sites (fractional):
Th (0.0082, 0.0000, 0.2331)  3 C 2.66-2.67, 2 Rh 2.92, 1 S 2.94
Th (0.1601, 0.5000, 0.1039)  3 C 2.63-2.67, 3 S 2.91-2.93
Th (0.1733, 0.5000, 0.5613)  3 C 2.66, 1 Rh 2.91, 2 S 2.96
Rh (0.0000, 0.5000, 0.5000)  6 Th 2.91-2.92
C (0.0000, 0.5000, 0.0000)  6 Th 2.67
C (0.1678, 0.0000, 0.3301)  6 Th 2.63-2.66
S (0.1670, 0.0000, 0.8352)  6 Th 2.91-2.96

=====

# 3
Density functional theory data (PBE) for an optimized crystal structure of Th6RhC2S3.

Results
calculated total energy: -8.073 eV per atom
energy relative to the elements, uncorrected: -14.17 eV per formula unit

Cell lengths 17.6100, 3.8951, 8.1999 Å; angles 90.00, 105.04, 90.00 degrees
Closest atoms and distances in Å follow each position.
Space group C2/m (No. 12)
Symmetry-distinct sites (fractional):
Th (0.0134, 0.0000, 0.2537)  1 C 2.66, 2 Rh 2.81, 2 S 2.86
Th (0.1699, 0.5000, 0.1182)  2 C 2.64, 1 S 2.86, 1 Rh 2.90
Th (0.1746, 0.5000, 0.5651)  3 C 2.65-2.69
Rh (0.0000, 0.5000, 0.0000)  6 Th 2.81-2.90
C (0.1699, 0.0000, 0.3356)  6 Th 2.64-2.69
S (0.0000, 0.5000, 0.5000)  6 Th 2.86-2.98
S (0.1634, 0.0000, 0.8348)  6 Th 2.86-3.01

=====

# 4
Density functional theory data (PBE) for an optimized crystal structure of Th4RhCS2.

Results
calculated total energy: -7.992 eV per atom
energy relative to the elements, uncorrected: -9.43 eV per formula unit

Cell lengths 7.0547, 3.9116, 7.0885 Å; angles 90.00, 108.36, 90.00 degrees
Closest atoms and distances in Å follow each position.
Space group P2/m (No. 10)
Symmetry-distinct sites (fractional):
Th (0.2217, 0.0000, 0.2233)  2 C 2.69, 1 S 2.87, 1 Rh 2.88
Th (0.2399, 0.5000, 0.7686)  1 C 2.70, 2 Rh 2.83, 2 S 2.88
Rh (0.5000, 0.0000, 0.0000)  6 Th 2.83-2.88
C (0.0000, 0.5000, 0.0000)  6 Th 2.69-2.70
S (0.0000, 0.0000, 0.5000)  6 Th 2.87-2.88
S (0.5000, 0.5000, 0.5000)  6 Th 3.02-3.03

=====

# 5
Density functional theory data (PBE) for an optimized crystal structure of Th4RhC2S.

Results
calculated total energy: -8.271 eV per atom
energy relative to the elements, uncorrected: -6.56 eV per formula unit

Cell lengths 6.7824, 3.8228, 7.0167 Å; angles 90.00, 107.79, 90.00 degrees
Closest atoms and distances in Å follow each position.
Space group P2/m (No. 10)
Symmetry-distinct sites (fractional):
Th (0.2333, 0.0000, 0.2183)  3 C 2.65-2.70, 1 Rh 2.89, 2 S 2.94
Th (0.2590, 0.5000, 0.7847)  3 C 2.64-2.66, 2 Rh 2.93, 1 S 2.94
Rh (0.0000, 0.0000, 0.5000)  6 Th 2.89-2.93
C (0.0000, 0.5000, 0.0000)  6 Th 2.64-2.65
C (0.5000, 0.0000, 0.0000)  6 Th 2.66-2.70
S (0.5000, 0.5000, 0.5000)  6 Th 2.94

=====

# 6
Density functional theory data (PBE) for an optimized crystal structure of Th6Rh2CS3.

Results
calculated total energy: -7.938 eV per atom
energy relative to the elements, uncorrected: -14.43 eV per formula unit

Cell lengths 18.0066, 3.9500, 8.3456 Å; angles 90.00, 105.02, 90.00 degrees
Closest atoms and distances in Å follow each position.
Space group C2/m (No. 12)
Symmetry-distinct sites (fractional):
Th (0.0006, 0.0000, 0.2825)  2 C 2.68, 1 Rh 2.93, 1 S 2.96
Th (0.1526, 0.5000, 0.5858)  1 C 2.65, 2 Rh 2.87, 2 S 2.91
Th (0.1647, 0.5000, 0.0817)  3 Rh 2.83-2.93, 3 S 2.87-2.92
Rh (0.1671, 0.0000, 0.8408)  6 Th 2.83-2.93
C (0.0000, 0.5000, 0.5000)  6 Th 2.65-2.68
S (0.0000, 0.5000, 0.0000)  6 Th 2.87-3.07
S (0.1701, 0.0000, 0.3422)  6 Th 2.91-3.09

=====

# 7
Density functional theory data (PBE) for an optimized crystal structure of Th6Rh2C3S.

Results
calculated total energy: -8.311 eV per atom
energy relative to the elements, uncorrected: -8.71 eV per formula unit

Cell lengths 17.5719, 3.8079, 8.0733 Å; angles 90.00, 108.25, 90.00 degrees
Closest atoms and distances in Å follow each position.
Space group C2/m (No. 12)
Symmetry-distinct sites (fractional):
Th (0.0005, 0.0000, 0.2296)  3 C 2.61-2.66, 2 S 2.90
Th (0.1525, 0.5000, 0.1152)  3 C 2.55-2.67, 1 Rh 2.84
Th (0.1771, 0.5000, 0.5845)  3 C 2.63-2.80
Rh (0.1840, 0.0000, 0.8693)  6 Th 2.84-3.09
C (0.0000, 0.5000, 0.0000)  6 Th 2.55-2.66
C (0.1568, 0.0000, 0.3491)  6 Th 2.61-2.80
S (0.0000, 0.5000, 0.5000)  6 Th 2.90-2.97

=====

# 8
Density functional theory data (PBE) for an optimized crystal structure of SbRhC3.

Results
calculated total energy: -5.632 eV per atom
energy relative to the elements, uncorrected: 10.99 eV per formula unit
ΔE to the lowest computed polymorph: 0.000 eV per atom

Cell lengths 4.0505, 4.0505, 4.0505 Å; angles 90.00, 90.00, 90.00 degrees
Closest atoms and distances in Å follow each position.
Space group Pm-3m (No. 221)
Symmetry-distinct sites (fractional):
Sb (0.0000, 0.0000, 0.0000)  12 C 2.86
Rh (0.5000, 0.5000, 0.5000)  6 C 2.03
C (0.0000, 0.5000, 0.5000)  2 Rh 2.03

=====

# 9
Density functional theory data (PBE) for an optimized crystal structure of SbRh3C.

Results
calculated total energy: -4.762 eV per atom
energy relative to the elements, uncorrected: 11.59 eV per formula unit
ΔE to the lowest computed polymorph: 2.167 eV per atom

Cell lengths 4.8363, 4.8363, 4.8363 Å; angles 90.00, 90.00, 90.00 degrees
Closest atoms and distances in Å follow each position.
Space group Pm-3m (No. 221)
Symmetry-distinct sites (fractional):
Sb (0.0000, 0.0000, 0.0000)  6 Rh 2.42
Rh (0.0000, 0.0000, 0.5000)  2 Sb 2.42
C (0.5000, 0.5000, 0.5000)  12 Rh 3.42

=====

# 10
Density functional theory data (PBE) for an optimized crystal structure of SbRhC3.

Results
calculated total energy: -4.788 eV per atom
energy relative to the elements, uncorrected: 15.21 eV per formula unit
ΔE to the lowest computed polymorph: 0.844 eV per atom

Cell lengths 4.1745, 4.1745, 4.1745 Å; angles 90.00, 90.00, 90.00 degrees
Closest atoms and distances in Å follow each position.
Space group Pm-3m (No. 221)
Symmetry-distinct sites (fractional):
Sb (0.0000, 0.0000, 0.0000)  6 C 2.09
Rh (0.5000, 0.5000, 0.5000)  12 C 2.95
C (0.0000, 0.0000, 0.5000)  2 Sb 2.09

=====

# 11
Density functional theory data (PBE) for an optimized crystal structure of SbRh3C.

Results
calculated total energy: -6.929 eV per atom
energy relative to the elements, uncorrected: 0.76 eV per formula unit
ΔE to the lowest computed polymorph: 0.000 eV per atom

Cell lengths 4.1717, 4.1717, 4.1717 Å; angles 90.00, 90.00, 90.00 degrees
Closest atoms and distances in Å follow each position.
Space group Pm-3m (No. 221)
Symmetry-distinct sites (fractional):
Sb (0.0000, 0.0000, 0.0000)  12 Rh 2.95
Rh (0.0000, 0.5000, 0.5000)  2 C 2.09
C (0.5000, 0.5000, 0.5000)  6 Rh 2.09

=====

# 12
Density functional theory data (PBE) for an optimized crystal structure of Sb2RhC.

Results
calculated total energy: -5.654 eV per atom
energy relative to the elements, uncorrected: 2.21 eV per formula unit

Cell lengths 5.7710, 5.7710, 9.8663 Å; angles 90.00, 90.00, 90.00 degrees
Closest atoms and distances in Å follow each position.
Space group I-42d (No. 122)
Symmetry-distinct sites (fractional):
Sb (0.2054, 0.2500, 0.1250)  2 C 2.24
Rh (0.0000, 0.0000, 0.5000)  4 Sb 2.55
C (0.0000, 0.0000, 0.0000)  4 Sb 2.24

=====

Calculated ρ in order - 5.5, 10.2, 9.9, 9.9, 10.4, 9.9, 10.8, 6.5, 6.5, 6.0, 10.1, 7.2 Mg/m³
Calculated DOS at the Fermi energy in order - 7.56, 9.20, 17.67, 5.52, 4.38, 20.01, 11.18, 5.08, 5.47, 5.83, 7.65, 14.03 states/eV/cell